Entry 1:
Compound: RbOsPd3
Source: the Alexandria database
Functional: PBE
Structure: optimized geometry

Geometry as POSCAR:
```
RbOsPd3
1.0
4.964 0.000 0.000
0.000 4.964 0.000
0.000 0.000 4.964
Os Rb Pd
1 1 3
direct
0.000 0.000 0.000
0.500 0.500 0.500
0.000 0.500 0.000
0.000 0.000 0.500
0.500 0.000 0.000
```

As for the volume: 24.5 Å³ per atom. The symmetry is Pm-3m, No. 221. For the formation energy, the calculation gives 0.8635 eV/atom. As for the total energy: -23.5 eV/f.u. The calculation puts the density of states at the Fermi level at 1.38 states/eV per atom. Its crystal system is cubic.

---

Entry 2:
Compound: CdCuNi
Source: the Alexandria database
Functional: PBE
Structure: optimized geometry

Geometry as POSCAR:
```
CdCuNi
1.0
-2.705 -0.266 -3.273
3.886 -1.704 -0.309
-0.966 -2.383 0.992
Cd Cu Ni
1 1 1
direct
0.000 0.000 0.001
0.667 0.333 0.470
0.333 0.667 0.529
```

As for the volume: 14.4 Å³ per atom. The symmetry is P3m1, No. 156. For the formation energy, the calculation gives 0.1169 eV/atom. As for the total energy: -10.4 eV/f.u. The calculation puts the density of states at the Fermi level at 0.30 states/eV per atom. Its crystal system is trigonal.

---

Entry 3:
Compound: NbPd8Pt2
Source: the Alexandria database
Functional: PBE
Structure: optimized geometry

Geometry as POSCAR:
```
NbPd8Pt2
1.0
0.496 -3.837 -3.496
2.907 -2.959 3.880
-6.957 0.880 1.825
Nb Pd Pt
1 8 2
direct
0.500 0.000 0.000
0.228 0.315 0.221
0.007 0.094 0.779
0.729 0.391 0.000
0.719 0.219 0.437
0.281 0.781 0.563
0.271 0.609 0.000
0.993 0.906 0.221
0.772 0.685 0.779
0.692 0.692 0.384
0.308 0.308 0.616
```

As for the volume: 16.6 Å³ per atom. The symmetry is C2/m, No. 12. For the formation energy, the calculation gives 0.0235 eV/atom. As for the total energy: -63.4 eV/f.u. The calculation puts the density of states at the Fermi level at 1.01 states/eV per atom. Its crystal system is monoclinic.

---

Entry 4:
Compound: Be2AlCl
Source: the Alexandria database
Functional: PBE
Structure: optimized geometry

Geometry as POSCAR:
```
Be2AlCl
1.0
7.071 0.000 0.000
6.403 3.000 0.000
6.403 1.425 2.639
Be Al Cl
2 1 1
direct
0.998 0.998 0.998
0.502 0.502 0.502
0.750 0.750 0.750
0.250 0.250 0.250
```

As for the volume: 14.0 Å³ per atom. The symmetry is R-3m, No. 166. As for the total energy: -11.9 eV/f.u. The calculation puts the density of states at the Fermi level at 0.50 states/eV per atom. Its uncorrected formation energy is 0.288 eV/atom. Its crystal system is trigonal.

---

Entry 5:
Compound: CsZrAsSe2
Source: the Alexandria database
Functional: PBE
Structure: optimized geometry

Geometry as POSCAR:
```
CsZrAsSe2
1.0
5.043 0.000 0.000
0.000 5.848 0.000
0.000 0.000 5.476
Cs As Se Zr
1 1 2 1
direct
0.500 0.500 0.500
0.000 0.000 0.500
0.000 0.000 0.000
0.000 0.500 0.000
0.500 0.000 0.000
```

As for the volume: 32.3 Å³ per atom. The symmetry is Pmmm, No. 47. As for the total energy: -20.2 eV/f.u. The calculation puts the density of states at the Fermi level at 0.87 states/eV per atom. Its uncorrected formation energy is 0.159 eV/atom. Its crystal system is orthorhombic.

---

Entry 6:
Compound: Sm2YTh2
Source: the Alexandria database
Functional: PBE
Structure: optimized geometry

Geometry as POSCAR:
```
Sm2YTh2
1.0
-4.508 7.322 4.271
-8.068 -5.189 0.380
0.987 -1.296 3.264
Sm Y Th
4 2 4
direct
0.128 0.628 0.000
0.628 0.872 0.000
0.872 0.372 0.000
0.372 0.128 0.000
0.000 0.000 0.000
0.500 0.500 0.000
0.329 0.829 0.500
0.829 0.671 0.500
0.671 0.171 0.500
0.171 0.329 0.500
```

As for the volume: 33.6 Å³ per atom. The symmetry is P4/mbm, No. 127. For the formation energy, the calculation gives 0.1947 eV/atom. As for the total energy: -29.8 eV/f.u. The calculation puts the density of states at the Fermi level at 1.30 states/eV per atom. Its crystal system is tetragonal.

---

| no. | excess energy over the best structure of this formula in the dataset (meV per atom) |
| --- | --- |
| 1 | 0 |
| 2 | 97 |
| 3 | 0 |
| 4 | 316 |
| 5 | 0 |
| 6 | 44 |